*one*
# TaRe2P, relaxed, DFT GGA-PBE
# Spin magnetization, Bohr magnetons per cell: 0.00
data_TaRe2P
_chemical_formula_sum 'Ta3 Re6 P3'
_symmetry_space_group_name_H-M 'R 3 m'
_symmetry_Int_Tables_number 160
_symmetry_space_group_name_Hall 'R 3 -2"'
_cell_length_a 2.8518
_cell_length_b 2.8518
_cell_length_c 25.8920
_cell_angle_alpha 90.00
_cell_angle_beta 90.00
_cell_angle_gamma 120.00
loop_
_atom_site_label
_atom_site_fract_x
_atom_site_fract_y
_atom_site_fract_z
_atom_site_occupancy
Ta1 0.0000 0.0000 0.0000 1
Re1 0.0000 0.0000 0.5105 1
Re2 0.0000 0.0000 0.7602 1
P1 0.0000 0.0000 0.2509 1

=====

*two*
# TaRe2P, relaxed, DFT GGA-PBE
# Spin magnetization, Bohr magnetons per cell: 0.00
data_TaRe2P
_chemical_formula_sum 'Ta2 Re4 P2'
_symmetry_space_group_name_H-M 'I -4 m 2'
_symmetry_Int_Tables_number 119
_symmetry_space_group_name_Hall 'I -4 -2'
_cell_length_a 3.7307
_cell_length_b 3.7307
_cell_length_c 8.5853
_cell_angle_alpha 90.00
_cell_angle_beta 90.00
_cell_angle_gamma 90.00
loop_
_atom_site_label
_atom_site_fract_x
_atom_site_fract_y
_atom_site_fract_z
_atom_site_occupancy
Ta1 0.0000 0.0000 0.0000 1
Re1 0.0000 0.0000 0.5000 1
Re2 0.0000 0.5000 0.2500 1
P1 0.0000 0.5000 0.7500 1

=====

Stability, highest: *one*